[1]
GeBi2Au2: optimized geometry, PBE.

Values from the calculation:
Calculated volume (Å³/cell): 253.9
Energy above the most stable polymorph in this dataset (meV/atom): 198
SG: P4/mbm
Formation energy (meV per atom): 210
Spin magnetization (Bohr magnetons per cell): 0.0

Cell: 8.3222 8.3222 3.6654 Å, 90.00 90.00 90.00°
Closest atoms and distances in Å follow each position.
Element x y z (fractional)
1 Bi 0.6851 0.1851 0.0000  6 Au 2.94-3.18, 2 Ge 3.04
2 Bi 0.8149 0.6851 0.0000  6 Au 2.94-3.18, 2 Ge 3.04
3 Bi 0.3149 0.8149 0.0000  6 Au 2.94-3.18, 2 Ge 3.04
4 Bi 0.1851 0.3149 0.0000  6 Au 2.94-3.18, 2 Ge 3.04
5 Ge 0.5000 0.5000 0.0000  4 Bi 3.04
6 Ge 0.0000 0.0000 0.0000  4 Bi 3.04
7 Au 0.1195 0.6195 0.5000  1 Au 2.81, 2 Bi 2.94
8 Au 0.6195 0.8805 0.5000  1 Au 2.81, 2 Bi 2.94
9 Au 0.3805 0.1195 0.5000  1 Au 2.81, 2 Bi 2.94
10 Au 0.8805 0.3805 0.5000  1 Au 2.81, 2 Bi 2.94

---

[2]
Be2FeSb: optimized geometry, PBE.

Values from the calculation:
Calculated volume (Å³/cell): 48.7
SG: I-4m2
Uncorrected formation energy (eV per atom): 0.287
Spin magnetization (Bohr magnetons per cell): 0.5

Cell: 4.5067 4.5067 4.5067 Å, 132.61 132.61 69.27°
Closest atoms and distances in Å follow each position.
Element x y z (fractional)
1 Be 0.0000 0.0000 0.0000  4 Fe 2.56, 4 Be 2.59, 4 Sb 2.59
2 Be 0.7498 0.2498 0.5000  4 Sb 2.56, 4 Fe 2.59, 4 Be 2.59
3 Sb 0.2501 0.7501 0.5000  8 Be 2.56-2.59, 4 Fe 2.59
4 Fe 0.5001 0.5001 0.0000  8 Be 2.56-2.59, 4 Sb 2.59

---

[3]
Dy8Zn2Pt: optimized geometry, PBE.

Values from the calculation:
Calculated volume (Å³/cell): 292.9
SG: C2/m
Formation energy (meV per atom): -330
Spin magnetization (Bohr magnetons per cell): 0.0

Cell: 5.0674 6.7188 9.1766 Å, 102.25 106.03 90.00°
Closest atoms and distances in Å follow each position.
Element x y z (fractional)
1 Dy 0.6591 0.9675 0.3181  1 Pt 2.86, 3 Zn 2.93-3.08
2 Dy 0.4098 0.5558 0.8196  1 Pt 3.06, 2 Dy 3.40
3 Dy 0.5902 0.4442 0.1804  1 Pt 3.06, 2 Dy 3.40
4 Dy 0.7956 0.6752 0.5912  1 Zn 2.85
5 Dy 0.0270 0.7764 0.0540  1 Zn 2.95, 2 Pt 3.04
6 Dy 0.3409 0.0325 0.6819  1 Pt 2.86, 3 Zn 2.93-3.08
7 Dy 0.9730 0.2236 0.9460  1 Zn 2.96, 2 Pt 3.04
8 Dy 0.2044 0.3248 0.4088  1 Zn 2.85
9 Pt 0.5000 0.0000 0.0000  8 Dy 2.86-3.06
10 Zn 0.8092 0.2608 0.6184  5 Dy 2.85-3.08
11 Zn 0.1908 0.7392 0.3816  5 Dy 2.85-3.08

---

[4]
BiPPtS2: optimized geometry, PBE.

Values from the calculation:
Calculated volume (Å³/cell): 137.0
Energy above the most stable polymorph in this dataset (meV/atom): 1128
SG: P4/mmm
Uncorrected formation energy (eV per atom): 1.467
Spin magnetization (Bohr magnetons per cell): 1.2

Cell: 5.0767 5.0767 5.3157 Å, 90.00 90.00 90.00°
Closest atoms and distances in Å follow each position.
Element x y z (fractional)
1 P 0.0000 0.0000 0.5000  2 Bi 2.66
2 Pt 0.5000 0.5000 0.5000  4 P 3.59, 8 S 3.68
3 Bi 0.0000 0.0000 0.0000  4 S 2.54, 2 P 2.66
4 S 0.0000 0.5000 0.0000  2 Bi 2.54
5 S 0.5000 0.0000 0.0000  2 Bi 2.54

---

[5]
La2TmZr: optimized geometry, PBE.

Values from the calculation:
Calculated volume (Å³/cell): 122.9
Energy above the most stable polymorph in this dataset (meV/atom): 180
SG: R-3m
Formation energy (meV per atom): 306
Spin magnetization (Bohr magnetons per cell): 0.0

Cell: 3.4129 3.4129 12.3417 Å, 82.05 82.05 60.00°
Closest atoms and distances in Å follow each position.
Element x y z (fractional)
1 La 0.9158 0.9158 0.2525  1 Zr 3.08, 6 La 3.41
2 La 0.0842 0.0842 0.7475  1 Zr 3.08, 6 La 3.41
3 Tm 0.5000 0.5000 0.5000  6 Tm 3.41, 6 La 3.60
4 Zr 0.0000 0.0000 0.0000  2 La 3.08, 6 Zr 3.41

---

[6]
LaInMo2: optimized geometry, PBE.

Values from the calculation:
Calculated volume (Å³/cell): 84.5
SG: Pmmm
Formation energy (meV per atom): 616
Spin magnetization (Bohr magnetons per cell): 0.0

Cell: 3.7396 4.8874 4.6211 Å, 90.00 90.00 90.00°
Closest atoms and distances in Å follow each position.
Element x y z (fractional)
1 La 0.0000 0.5000 0.5000  4 Mo 2.97, 4 In 3.08
2 Mo 0.0000 0.0000 0.0000  4 In 2.97, 4 Mo 3.08
3 Mo 0.5000 0.5000 0.0000  4 La 2.97, 4 Mo 3.08
4 In 0.5000 0.0000 0.5000  4 Mo 2.97, 4 La 3.08